In2TcMo PBE relaxed; uncorrected energy = -24.64 eV per cell; ΔE_f = 2.03 eV/f.u.; energy above the most stable polymorph in this dataset = 357 meV per atom; spin magnetization = 0.229 μB per atom
1.0
4.707 0.000 0.000
0.000 4.707 0.000
0.000 0.000 3.219
In Tc Mo
2 1 1
Cartesian
0.000 2.353 0.000 In
2.353 0.000 0.000 In
0.000 0.000 1.610 Tc
2.353 2.353 1.610 Mo

---

PmCu2Sb2 PBE relaxed; uncorrected energy = -47.36 eV per cell; uncorrected formation energy = -48.11 kJ per mole of atoms; energy above the most stable polymorph in this dataset = 0 meV per atom; spin magnetization = 0.000 μB per atom
1.0
2.178 -11.396 0.000
2.178 11.396 0.000
0.000 0.000 4.341
Pm Cu Sb
2 4 4
Cartesian
2.178 8.227 3.256 Pm
2.178 -8.227 1.085 Pm
2.178 10.756 1.085 Cu
2.178 0.659 1.085 Cu
2.178 -0.659 3.256 Cu
2.178 -10.756 3.256 Cu
2.178 5.700 1.085 Sb
2.178 2.209 3.256 Sb
2.178 -2.209 1.085 Sb
2.178 -5.700 3.256 Sb

---

- Look up the uncorrected energy of the second one.
  -47.36 eV per cell